Entry 1:
Material: Ho3Er7Tc4
Method: DFT, PBE-GGA
State: relaxed

Its total magnetization is 0.0 μB/cell. As for the crystal system: monoclinic. For the calculated volume, the calculation gives 25.00 A^3/atom.

The structure belongs to space group C2/m (No. 12); the cell edges are 18.7661, 3.6698 and 11.9429 Å and the angles 90.00°, 121.67° and 90.00°. The inequivalent atoms are Ho at (0.0000, 0.0000, 0.0000), Ho at (0.2029, 0.5000, 0.6986), Er at (0.0000, 0.0000, 0.5000), Er at (0.0021, 0.5000, 0.7494), Er at (0.1633, 0.0000, 0.4076), Er at (0.1811, 0.5000, 0.0177), Tc at (0.1287, 0.0000, 0.7931) and Tc at (0.1366, 0.5000, 0.2074).

---

Entry 2:
Material: Ti4Ga2Ge
Method: DFT, PBE-GGA
State: relaxed

Its total magnetization is 0.8 μB/cell. As for the crystal system: tetragonal. For the calculated volume, the calculation gives 20.25 A^3/atom.

The structure belongs to space group I4/mmm (No. 139); the cell edges are 4.5450, 4.5450 and 13.7236 Å and the angles 90.00°, 90.00° and 90.00°. The inequivalent atoms are Ti at (0.0000, 0.0000, 0.1778), Ti at (0.0000, 0.5000, 0.0000), Ga at (0.0000, 0.0000, 0.3710) and Ge at (0.0000, 0.0000, 0.0000).

---

Entry 3:
Material: Tm6ReO12
Method: DFT, PBE-GGA
State: relaxed

Its total magnetization is 3.0 μB/cell. As for the crystal system: trigonal. Its formation energy from raw total energies is -3243 meV per atom. For the calculated volume, the calculation gives 13.16 A^3/atom.

The structure belongs to space group R-3 (No. 148, hexagonal axes); the cell edges are 9.6962, 9.6962 and 9.2163 Å and the angles 90.00°, 90.00° and 120.00°. The inequivalent atoms are Tm at (0.0397, 0.2530, 0.1428), Re at (0.0000, 0.0000, 0.5000), O at (0.0310, 0.2218, 0.8992) and O at (0.0347, 0.1856, 0.3870).

---

Entry 4:
Material: SmPuInO6
Method: DFT, PBE-GGA
State: relaxed

Its total magnetization is 4.0 μB/cell. As for the crystal system: trigonal. Its formation energy from raw total energies is -2466 meV per atom. For the calculated volume, the calculation gives 14.97 A^3/atom.

The structure belongs to space group P-31c (No. 163); the cell edges are 5.5535, 5.5535 and 10.0893 Å and the angles 90.00°, 90.00° and 120.00°. The inequivalent atoms are Sm at (0.0000, 0.0000, 0.0000), Pu at (0.3333, 0.6667, 0.2500), In at (0.3333, 0.6667, 0.7500) and O at (0.0168, 0.3572, 0.1361).

---

Entry 5:
Material: TbUSb2N
Method: DFT, PBE-GGA
State: relaxed

Its total magnetization is 0.9 μB/cell. As for the crystal system: tetragonal. Its formation energy from raw total energies is -842 meV per atom. For the calculated volume, the calculation gives 23.45 A^3/atom.

The structure belongs to space group P4/nmm (No. 129, origin choice 2); the cell edges are 4.0892, 4.0892 and 14.0214 Å and the angles 90.00°, 90.00° and 90.00°. The inequivalent atoms are Tb at (0.2500, 0.2500, 0.0897), U at (0.2500, 0.2500, 0.5754), Sb at (0.2500, 0.2500, 0.3122), Sb at (0.2500, 0.2500, 0.8569) and N at (0.2500, 0.7500, 0.5000).

---

Entry 6:
Material: NiHgB3
Method: DFT, PBE-GGA
State: relaxed

Its total magnetization is 0.0 μB/cell. As for the crystal system: cubic. For the calculated volume, the calculation gives 15.69 A^3/atom.

The structure belongs to space group Pm-3m (No. 221); the cell edges are 4.2813, 4.2813 and 4.2813 Å and the angles 90.00°, 90.00° and 90.00°. The inequivalent atoms are Ni at (0.0000, 0.0000, 0.0000), Hg at (0.5000, 0.5000, 0.5000) and B at (0.0000, 0.5000, 0.5000).

---

Entry 7:
Material: Ba2Al
Method: DFT, PBE-GGA
State: relaxed

Its total magnetization is 0.0 μB/cell. As for the crystal system: tetragonal. For the calculated volume, the calculation gives 46.81 A^3/atom.

The structure belongs to space group I4_1/amd (No. 141, origin choice 2); the cell edges are 4.1797, 4.1797 and 32.1527 Å and the angles 90.00°, 90.00° and 90.00°. The inequivalent atoms are Ba at (0.0000, 0.2500, 0.3148) and Al at (0.0000, 0.2500, 0.8750).

---

Entry 8:
Material: Ba3Zn4Pd2
Method: DFT, PBE-GGA
State: relaxed

Its total magnetization is 0.0 μB/cell. As for the crystal system: monoclinic. For the calculated volume, the calculation gives 27.31 A^3/atom.

The structure belongs to space group C2/m (No. 12); the cell edges are 12.0173, 4.4349 and 9.8873 Å and the angles 90.00°, 111.12° and 90.00°. The inequivalent atoms are Ba at (0.0000, 0.0000, 0.0000), Ba at (0.1112, 0.5000, 0.6867), Zn at (0.1597, 0.0000, 0.4344), Zn at (0.2273, 0.5000, 0.0621) and Pd at (0.1716, 0.5000, 0.2967).

---

Entry 9:
Material: MgZr2In
Method: DFT, PBE-GGA
State: relaxed

Its total magnetization is 0.0 μB/cell. As for the crystal system: trigonal. For the calculated volume, the calculation gives 22.93 A^3/atom.

The structure belongs to space group R-3m (No. 166, hexagonal axes); the cell edges are 3.1485, 3.1485 and 32.0491 Å and the angles 90.00°, 90.00° and 120.00°. The inequivalent atoms are Mg at (0.0000, 0.0000, 0.0000), Zr at (0.0000, 0.0000, 0.2489) and In at (0.0000, 0.0000, 0.5000).

---

Entry 10:
Material: KB2H8
Method: DFT, PBE-GGA
State: relaxed

Its total magnetization is 0.2 μB/cell. As for the crystal system: monoclinic. For the calculated volume, the calculation gives 8.54 A^3/atom.

The structure belongs to space group C2/m (No. 12); the cell edges are 4.5689, 15.7660 and 2.6096 Å and the angles 90.00°, 90.30° and 90.00°. The inequivalent atoms are K at (0.0000, 0.0000, 0.0000), B at (0.0000, 0.3246, 0.5000), H at (0.0000, 0.2817, 0.0000), H at (0.0006, 0.5000, 0.3463) and H at (0.2265, 0.3653, 0.5020).

---

Entry 11:
Material: LaSc3C
Method: DFT, PBE-GGA
State: relaxed

Its total magnetization is 0.0 μB/cell. As for the crystal system: cubic. For the calculated volume, the calculation gives 26.60 A^3/atom.

The structure belongs to space group Pm-3m (No. 221); the cell edges are 5.1042, 5.1042 and 5.1042 Å and the angles 90.00°, 90.00° and 90.00°. The inequivalent atoms are La at (0.0000, 0.0000, 0.0000), Sc at (0.0000, 0.0000, 0.5000) and C at (0.5000, 0.5000, 0.5000).

---

Entry 12:
Material: Er3Tm3Ni2
Method: DFT, PBE-GGA
State: relaxed

Its total magnetization is 0.0 μB/cell. As for the crystal system: orthorhombic. For the calculated volume, the calculation gives 26.21 A^3/atom.

The structure belongs to space group Cmcm (No. 63); the cell edges are 3.5792, 12.9262 and 18.1275 Å and the angles 90.00°, 90.00° and 90.00°. The inequivalent atoms are Er at (0.0000, 0.0506, 0.2500), Er at (0.0000, 0.1762, 0.5628), Tm at (0.0000, 0.2282, 0.7500), Tm at (0.0000, 0.4377, 0.5845) and Ni at (0.0000, 0.1998, 0.1395).

---

Number 1: Fermi-level density of states 11.19 states/eV/f.u., final energy -6.23 eV per atom, density 9762 kg/m3. Number 2: Fermi-level density of states 7.61 states/eV/f.u., final energy -5.81 eV per atom, density 4728 kg/m3. Number 3: Fermi-level density of states 4.91 states/eV/f.u., final energy -8.44 eV per atom, density 9240 kg/m3. Number 4: Fermi-level density of states 8.33 states/eV/f.u., final energy -8.19 eV per atom, density 7458 kg/m3. Number 5: Fermi-level density of states 4.07 states/eV/f.u., final energy -7.34 eV per atom, density 9271 kg/m3. Number 6: Fermi-level density of states 4.13 states/eV/f.u., final energy -2.65 eV per atom, density 6173 kg/m3. Number 7: Fermi-level density of states 2.28 states/eV/f.u., final energy -2.56 eV per atom, density 3567 kg/m3. Number 8: Fermi-level density of states 5.61 states/eV/f.u., final energy -2.74 eV per atom, density 5989 kg/m3. Number 9: Fermi-level density of states 4.58 states/eV/f.u., final energy -5.38 eV per atom, density 5822 kg/m3. Number 10: Fermi-level density of states 1.03 states/eV/f.u., final energy -3.55 eV per atom, density 1215 kg/m3. Number 11: Fermi-level density of states 4.41 states/eV/f.u., final energy -4.44 eV per atom, density 3569 kg/m3. Number 12: Fermi-level density of states 9.75 states/eV/f.u., final energy -5.01 eV per atom, density 8917 kg/m3.